ZrReNi2 | PBE | optimized geometry

Cell and atoms, written as POSCAR:
```
ZrReNi2
1.0
4.878 0.054 0.000
1.871 4.505 0.000
-3.375 -2.280 2.686
Re Zr Ni
1 1 2
Direct
0.500 0.500 0.000
0.750 0.250 0.500
0.000 0.000 0.000
0.250 0.750 0.500
```

## Properties
energy relative to the lowest polymorph listed for this composition = 0.618 eV/f.u.
ΔE_f = 0.043 eV per atom
energy = -8.096 eV per atom